--- one ---
Entry from Alexandria: a geometry-optimized GdHo2Tm structure (PBE).

a b c (Å): 4.9870 4.9870 4.9994
angles (deg): 90.00 90.00 90.00
Closest atoms and distances in Å follow each position.
Space group P4/mmm (No. 123)
Asymmetric unit:
Gd: 0.0000 0.0000 0.0000 x1  4 Tm 3.53, 8 Ho 3.53
Ho: 0.0000 0.5000 0.5000 x2  4 Ho 3.53, 4 Gd 3.53, 4 Tm 3.53
Tm: 0.5000 0.5000 0.0000 x1  4 Gd 3.53, 8 Ho 3.53

Values from the calculation:
DOS at the Fermi energy: 6.68 states/eV per cell


--- two ---
Entry from Alexandria: a geometry-optimized GdHo2Tm structure (PBE).

a b c (Å): 7.9633 7.9633 7.9633
angles (deg): 90.00 90.00 90.00
Closest atoms and distances in Å follow each position.
Space group Fm-3m (No. 225)
Asymmetric unit:
Gd: 0.0000 0.0000 0.0000 x4  8 Ho 3.45
Ho: 0.2500 0.2500 0.2500 x8  4 Gd 3.45, 4 Tm 3.45
Tm: 0.0000 0.0000 0.5000 x4  8 Ho 3.45

Values from the calculation:
DOS at the Fermi energy: 32.01 states/eV per cell


Result of the stability comparison: two is the least stable of them.


--- one ---
Entry from Alexandria: a geometry-optimized GdHo2Zn structure (PBE).

a b c (Å): 3.5508 3.5508 8.6307
angles (deg): 90.00 90.00 90.00
Closest atoms and distances in Å follow each position.
Space group P4/mmm (No. 123)
Asymmetric unit:
Gd: 0.0000 0.0000 0.0000 x1  4 Gd 3.55, 8 Ho 3.58
Ho: 0.5000 0.5000 0.2955 x2  4 Zn 3.07
Zn: 0.0000 0.0000 0.5000 x1  8 Ho 3.07

Values from the calculation:
DOS at the Fermi energy: 4.83 states/eV per cell


--- two ---
Entry from Alexandria: a geometry-optimized GdHo2Zn structure (PBE).

a b c (Å): 3.5519 3.5519 30.9303
angles (deg): 90.00 90.00 120.00
Closest atoms and distances in Å follow each position.
Space group R-3m (No. 166, hexagonal axes)
Asymmetric unit:
Gd: 0.0000 0.0000 0.0000 x3  6 Gd 3.55, 6 Ho 3.57
Ho: 0.0000 0.0000 0.2387 x6  3 Zn 3.03
Zn: 0.0000 0.0000 0.5000 x3  6 Ho 3.03

Values from the calculation:
DOS at the Fermi energy: 12.74 states/eV per cell


--- three ---
Entry from Alexandria: a geometry-optimized GdHo2Zn structure (PBE).

a b c (Å): 5.2760 5.2760 3.8316
angles (deg): 90.00 90.00 90.00
Closest atoms and distances in Å follow each position.
Space group P4/mmm (No. 123)
Asymmetric unit:
Gd: 0.0000 0.0000 0.0000 x1  8 Ho 3.26
Ho: 0.0000 0.5000 0.5000 x2  4 Zn 3.26, 4 Gd 3.26
Zn: 0.5000 0.5000 0.0000 x1  8 Ho 3.26

Values from the calculation:
DOS at the Fermi energy: 5.39 states/eV per cell


Result of the stability comparison: three is the least stable of them.


--- one ---
Entry from Alexandria: a geometry-optimized GdHoZn structure (PBE).

a b c (Å): 4.9945 4.9945 3.6497
angles (deg): 90.00 90.00 120.00
Closest atoms and distances in Å follow each position.
Space group P3m1 (No. 156)
Asymmetric unit:
Gd: 0.0000 0.0000 0.0000 x1  3 Zn 3.10, 3 Ho 3.34
Ho: 0.3333 0.6667 0.5400 x1  3 Zn 3.00, 3 Gd 3.34
Zn: 0.6667 0.3333 0.3149 x1  3 Ho 3.00, 3 Gd 3.10

Values from the calculation:
DOS at the Fermi energy: 3.43 states/eV per cell


--- two ---
Entry from Alexandria: a geometry-optimized GdHoZn structure (PBE).

a b c (Å): 3.5810 3.5810 12.2110
angles (deg): 90.00 90.00 90.00
Closest atoms and distances in Å follow each position.
Space group I4mm (No. 107)
Asymmetric unit:
Gd: 0.0000 0.0000 0.0000 x2  4 Zn 3.14
Ho: 0.0000 0.0000 0.2911 x2  4 Zn 3.05
Zn: 0.0000 0.0000 0.6515 x2  4 Ho 3.05, 4 Gd 3.14

Values from the calculation:
DOS at the Fermi energy: 6.49 states/eV per cell


Result of the stability comparison: one is the least stable of them.


--- one ---
Entry from Alexandria: a geometry-optimized GdHo2Zr structure (PBE).

a b c (Å): 7.7440 7.7440 7.7440
angles (deg): 90.00 90.00 90.00
Closest atoms and distances in Å follow each position.
Space group Fm-3m (No. 225)
Asymmetric unit:
Gd: 0.0000 0.0000 0.0000 x4  8 Ho 3.35
Ho: 0.2500 0.2500 0.2500 x8  4 Zr 3.35, 4 Gd 3.35
Zr: 0.0000 0.0000 0.5000 x4  8 Ho 3.35

Values from the calculation:
DOS at the Fermi energy: 36.73 states/eV per cell


--- two ---
Entry from Alexandria: a geometry-optimized GdHo2Zr structure (PBE).

a b c (Å): 4.8531 4.8531 4.8590
angles (deg): 90.00 90.00 90.00
Closest atoms and distances in Å follow each position.
Space group P4/mmm (No. 123)
Asymmetric unit:
Gd: 0.0000 0.0000 0.0000 x1  4 Zr 3.43, 8 Ho 3.43
Ho: 0.0000 0.5000 0.5000 x2  4 Ho 3.43, 4 Zr 3.43, 4 Gd 3.43
Zr: 0.5000 0.5000 0.0000 x1  4 Gd 3.43, 8 Ho 3.43

Values from the calculation:
DOS at the Fermi energy: 5.11 states/eV per cell


Result of the stability comparison: one is the least stable of them.


--- one ---
Entry from Alexandria: a geometry-optimized GdHo2Zr structure (PBE).

a b c (Å): 3.9823 3.9823 7.3655
angles (deg): 90.00 90.00 90.00
Closest atoms and distances in Å follow each position.
Space group P4/mmm (No. 123)
Asymmetric unit:
Gd: 0.0000 0.0000 0.0000 x1  8 Ho 3.48, 2 Zr 3.68
Ho: 0.5000 0.5000 0.2770 x2  4 Zr 3.26, 1 Ho 3.28, 4 Gd 3.48
Zr: 0.0000 0.0000 0.5000 x1  8 Ho 3.26

Values from the calculation:
DOS at the Fermi energy: 8.45 states/eV per cell


--- two ---
Entry from Alexandria: a geometry-optimized GdHo2Zr structure (PBE).

a b c (Å): 3.3497 3.3497 35.8664
angles (deg): 90.00 90.00 120.00
Closest atoms and distances in Å follow each position.
Space group R-3m (No. 166, hexagonal axes)
Asymmetric unit:
Gd: 0.0000 0.0000 0.0000 x3  6 Gd 3.35, 6 Ho 3.47
Ho: 0.0000 0.0000 0.4137 x6  1 Zr 3.10, 6 Ho 3.35
Zr: 0.0000 0.0000 0.5000 x3  2 Ho 3.10, 6 Zr 3.35

Values from the calculation:
DOS at the Fermi energy: 17.53 states/eV per cell


Result of the stability comparison: two is the least stable of them.


--- one ---
Entry from Alexandria: a geometry-optimized Gd2InI structure (PBE).

a b c (Å): 3.6675 3.6675 8.5187
angles (deg): 90.00 90.00 90.00
Closest atoms and distances in Å follow each position.
Space group P4/mmm (No. 123)
Asymmetric unit:
Gd: 0.0000 0.0000 0.2376 x2  4 In 3.29, 4 I 3.42, 4 Gd 3.67
In: 0.5000 0.5000 0.0000 x1  8 Gd 3.29, 4 In 3.67
I: 0.5000 0.5000 0.5000 x1  8 Gd 3.42, 4 I 3.67

Values from the calculation:
DOS at the Fermi energy: 5.32 states/eV per cell


--- two ---
Entry from Alexandria: a geometry-optimized Gd2InI structure (PBE).

a b c (Å): 4.4804 4.4804 22.0501
angles (deg): 90.00 90.00 120.00
Closest atoms and distances in Å follow each position.
Space group R-3m (No. 166, hexagonal axes)
Asymmetric unit:
Gd: 0.0000 0.0000 0.2413 x6  3 In 3.07, 3 I 3.29
In: 0.0000 0.0000 0.5000 x3  6 Gd 3.07
I: 0.0000 0.0000 0.0000 x3  6 Gd 3.29

Values from the calculation:
DOS at the Fermi energy: 13.13 states/eV per cell


Result of the stability comparison: two is the least stable of them.


--- one ---
Entry from Alexandria: a geometry-optimized Gd2IrI structure (PBE).

a b c (Å): 3.5435 3.5435 8.3385
angles (deg): 90.00 90.00 90.00
Closest atoms and distances in Å follow each position.
Space group P4/mmm (No. 123)
Asymmetric unit:
Gd: 0.0000 0.0000 0.1991 x2  4 Ir 3.01, 1 Gd 3.32
Ir: 0.5000 0.5000 0.0000 x1  8 Gd 3.01
I: 0.5000 0.5000 0.5000 x1  4 I 3.54, 8 Gd 3.55

Values from the calculation:
DOS at the Fermi energy: 3.94 states/eV per cell


--- two ---
Entry from Alexandria: a geometry-optimized Gd2IrI structure (PBE).

a b c (Å): 4.1371 4.1371 23.8333
angles (deg): 90.00 90.00 120.00
Closest atoms and distances in Å follow each position.
Space group R-3m (No. 166, hexagonal axes)
Asymmetric unit:
Gd: 0.0000 0.0000 0.2276 x6  3 Ir 2.79
Ir: 0.0000 0.0000 0.5000 x3  6 Gd 2.79
I: 0.0000 0.0000 0.0000 x3  6 Gd 3.47

Values from the calculation:
DOS at the Fermi energy: 4.38 states/eV per cell


Result of the stability comparison: one is the least stable of them.


--- one ---
Entry from Alexandria: a geometry-optimized NdGdI structure (PBE).

a b c (Å): 3.7379 3.7379 14.2842
angles (deg): 90.00 90.00 90.00
Closest atoms and distances in Å follow each position.
Space group I4mm (No. 107)
Asymmetric unit:
Nd: 0.0000 0.0000 0.0000 x2  4 I 3.55, 4 Gd 3.64, 4 Nd 3.74
Gd: 0.0000 0.0000 0.3246 x2  4 I 3.49, 4 Nd 3.64, 4 Gd 3.74
I: 0.0000 0.0000 0.6655 x2  4 Gd 3.49, 4 Nd 3.55, 4 I 3.74

Values from the calculation:
DOS at the Fermi energy: 8.46 states/eV per cell


--- two ---
Entry from Alexandria: a geometry-optimized NdGdI structure (PBE).

a b c (Å): 3.9154 3.9154 7.7218
angles (deg): 90.00 90.00 120.00
Closest atoms and distances in Å follow each position.
Space group P3m1 (No. 156)
Asymmetric unit:
Nd: 0.0000 0.0000 0.0000 x1  3 I 3.40, 3 Gd 3.55
Gd: 0.3333 0.6667 0.6463 x1  3 I 3.34, 3 Nd 3.55
I: 0.6667 0.3333 0.3282 x1  3 Gd 3.34, 3 Nd 3.40

Values from the calculation:
DOS at the Fermi energy: 3.68 states/eV per cell


Result of the stability comparison: one is the least stable of them.


--- one ---
Entry from Alexandria: a geometry-optimized Nd2GdI structure (PBE).

a b c (Å): 3.8163 3.8163 32.4443
angles (deg): 90.00 90.00 120.00
Closest atoms and distances in Å follow each position.
Space group R-3m (No. 166, hexagonal axes)
Asymmetric unit:
Nd: 0.0000 0.0000 0.2452 x6  3 I 3.37, 3 Gd 3.61
Gd: 0.0000 0.0000 0.0000 x3  6 Nd 3.61, 6 Gd 3.82
I: 0.0000 0.0000 0.5000 x3  6 Nd 3.37

Values from the calculation:
DOS at the Fermi energy: 15.45 states/eV per cell


--- two ---
Entry from Alexandria: a geometry-optimized Nd2GdI structure (PBE).

a b c (Å): 3.7174 3.7174 9.7410
angles (deg): 90.00 90.00 90.00
Closest atoms and distances in Å follow each position.
Space group P4/mmm (No. 123)
Asymmetric unit:
Nd: 0.0000 0.0000 0.2409 x2  4 I 3.52, 4 Gd 3.64, 4 Nd 3.72
Gd: 0.5000 0.5000 0.5000 x1  8 Nd 3.64, 4 Gd 3.72
I: 0.5000 0.5000 0.0000 x1  8 Nd 3.52, 4 I 3.72

Values from the calculation:
DOS at the Fermi energy: 4.54 states/eV per cell


Result of the stability comparison: two is the least stable of them.


--- one ---
Entry from Alexandria: a geometry-optimized GdI3O9 structure (PBE).

a b c (Å): 8.8621 6.1688 16.8452
angles (deg): 90.00 114.54 90.00
Closest atoms and distances in Å follow each position.
Space group P2_1/c (No. 14)
Asymmetric unit:
Gd: 0.1469 0.2134 0.1043 x4  7 O 2.34-2.46
I: 0.0725 0.1871 0.3575 x4  3 O 1.82-1.85
I: 0.3568 0.6438 0.5200 x4  3 O 1.84-1.87
I: 0.4167 0.5957 0.8025 x4  3 O 1.84
O: 0.0589 0.0526 0.6884 x4  1 I 1.84
O: 0.0950 0.6090 0.6699 x4  1 I 1.85
O: 0.1130 0.1259 0.4703 x4  1 I 1.82
O: 0.1289 0.6224 0.4848 x4  1 I 1.86
O: 0.3367 0.5856 0.8872 x4  1 I 1.84
O: 0.3442 0.1736 0.2558 x4  1 I 1.84
O: 0.3564 0.0735 0.9427 x4  1 I 1.87
O: 0.3661 0.0141 0.6335 x4  1 I 1.84
O: 0.3927 0.0230 0.1169 x4  1 I 1.84

Values from the calculation:
DOS at the Fermi energy: 0.00 states/eV per cell


--- two ---
Entry from Alexandria: a geometry-optimized GdI3O9 structure (PBE).

a b c (Å): 7.3110 8.6912 13.6223
angles (deg): 90.00 99.53 90.00
Closest atoms and distances in Å follow each position.
Space group P2_1/c (No. 14)
Asymmetric unit:
Gd: 0.1706 0.2368 0.1437 x4  8 O 2.30-2.55
I: 0.1696 0.6972 0.1109 x4  3 O 1.83-1.84
I: 0.2595 0.0308 0.8864 x4  3 O 1.82-1.85
I: 0.3337 0.5533 0.8540 x4  3 O 1.81-1.84
O: 0.0158 0.5178 0.3846 x4  1 I 1.83
O: 0.0239 0.1690 0.4908 x4  1 I 1.83
O: 0.1516 0.5178 0.1799 x4  1 I 1.84
O: 0.1547 0.7024 0.8232 x4  1 I 1.84
O: 0.2211 0.2184 0.8227 x4  1 I 1.85
O: 0.3168 0.0850 0.0167 x4  1 I 1.82
O: 0.3392 0.0228 0.2290 x4  1 I 1.83
O: 0.3662 0.6546 0.0483 x4  1 I 1.83
O: 0.4692 0.1810 0.6414 x4  1 I 1.81

Values from the calculation:
DOS at the Fermi energy: 0.00 states/eV per cell


Result of the stability comparison: two is the least stable of them.


--- one ---
Entry from Alexandria: a geometry-optimized Gd2PbI structure (PBE).

a b c (Å): 3.7672 3.7672 8.2313
angles (deg): 90.00 90.00 90.00
Closest atoms and distances in Å follow each position.
Space group P4/mmm (No. 123)
Asymmetric unit:
Gd: 0.0000 0.0000 0.2422 x2  4 Pb 3.33, 4 I 3.41
Pb: 0.5000 0.5000 0.0000 x1  8 Gd 3.33
I: 0.5000 0.5000 0.5000 x1  8 Gd 3.41, 4 I 3.77

Values from the calculation:
DOS at the Fermi energy: 6.81 states/eV per cell


--- two ---
Entry from Alexandria: a geometry-optimized Gd2PbI structure (PBE).

a b c (Å): 4.5777 4.5777 21.4819
angles (deg): 90.00 90.00 120.00
Closest atoms and distances in Å follow each position.
Space group R-3m (No. 166, hexagonal axes)
Asymmetric unit:
Gd: 0.0000 0.0000 0.2422 x6  3 Pb 3.10, 3 I 3.29
Pb: 0.0000 0.0000 0.5000 x3  6 Gd 3.10
I: 0.0000 0.0000 0.0000 x3  6 Gd 3.29

Values from the calculation:
DOS at the Fermi energy: 19.85 states/eV per cell


Result of the stability comparison: one is the least stable of them.


--- one ---
Entry from Alexandria: a geometry-optimized Gd2RhI structure (PBE).

a b c (Å): 3.5485 3.5485 8.2683
angles (deg): 90.00 90.00 90.00
Closest atoms and distances in Å follow each position.
Space group P4/mmm (No. 123)
Asymmetric unit:
Gd: 0.0000 0.0000 0.2020 x2  4 Rh 3.01, 1 Gd 3.34
Rh: 0.5000 0.5000 0.0000 x1  8 Gd 3.01
I: 0.5000 0.5000 0.5000 x1  8 Gd 3.52, 4 I 3.55

Values from the calculation:
DOS at the Fermi energy: 4.69 states/eV per cell


--- two ---
Entry from Alexandria: a geometry-optimized Gd2RhI structure (PBE).

a b c (Å): 4.0944 4.0944 23.9524
angles (deg): 90.00 90.00 120.00
Closest atoms and distances in Å follow each position.
Space group R-3m (No. 166, hexagonal axes)
Asymmetric unit:
Gd: 0.0000 0.0000 0.2282 x6  3 Rh 2.79
Rh: 0.0000 0.0000 0.5000 x3  6 Gd 2.79
I: 0.0000 0.0000 0.0000 x3  6 Gd 3.45

Values from the calculation:
DOS at the Fermi energy: 2.65 states/eV per cell


Result of the stability comparison: one is the least stable of them.